Entry 1:
# TiRuCl3 | Alexandria via LeMat-Bulk | PBE-GGA | optimized geometry
# - Formation energy without anion corrections: 0.380 eV per atom
# - D(E_F): 22.80 states/eV/cell
# - Electronic total energy: -4.162 eV/atom
data_TiRuCl3
_space_group_name_H-M_alt 'P m -3 m'
_space_group_IT_number 221
_space_group_name_Hall '-P 4 2 3'
_cell_length_a 4.738
_cell_length_b 4.738
_cell_length_c 4.738
_cell_angle_alpha 90.00
_cell_angle_beta 90.00
_cell_angle_gamma 90.00
loop_
_atom_site_label
_atom_site_type_symbol
_atom_site_fract_x
_atom_site_fract_y
_atom_site_fract_z
_atom_site_occupancy
Ti1 Ti 0.000 0.000 0.000 1
Ru1 Ru 0.500 0.500 0.500 1
Cl1 Cl 0.000 0.500 0.500 1

Entry 2:
# Sc2CuAg2 | Alexandria via LeMat-Bulk | PBE-GGA | optimized geometry
# - D(E_F): 11.92 states/eV/cell
# - ΔE_f: 0.13 eV per atom
# - Electronic total energy: -4.367 eV/atom
data_Sc2CuAg2
_space_group_name_H-M_alt 'I 4/m m m'
_space_group_IT_number 139
_space_group_name_Hall '-I 4 2'
_cell_length_a 3.690
_cell_length_b 3.690
_cell_length_c 15.406
_cell_angle_alpha 90.00
_cell_angle_beta 90.00
_cell_angle_gamma 90.00
loop_
_atom_site_label
_atom_site_type_symbol
_atom_site_fract_x
_atom_site_fract_y
_atom_site_fract_z
_atom_site_occupancy
Sc1 Sc 0.000 0.000 0.095 1
Cu1 Cu 0.000 0.000 0.500 1
Ag1 Ag 0.000 0.500 0.250 1

Entry 3:
# PuTlP | Alexandria via LeMat-Bulk | PBE-GGA | optimized geometry
# - D(E_F): 34.62 states/eV/cell
# - ΔE_f: -0.43 eV per atom
# - Electronic total energy: -7.799 eV/atom
data_PuTlP
_space_group_name_H-M_alt 'C m c m'
_space_group_IT_number 63
_space_group_name_Hall '-C 2c 2'
_cell_length_a 3.700
_cell_length_b 19.420
_cell_length_c 3.955
_cell_angle_alpha 90.00
_cell_angle_beta 90.00
_cell_angle_gamma 90.00
loop_
_atom_site_label
_atom_site_type_symbol
_atom_site_fract_x
_atom_site_fract_y
_atom_site_fract_z
_atom_site_occupancy
Pu1 Pu 0.000 0.083 0.250 1
Tl1 Tl 0.000 0.297 0.250 1
P1 P 0.000 0.464 0.250 1

Entry 4:
# Ca4ZnGaAg2 | Alexandria via LeMat-Bulk | PBE-GGA | optimized geometry
# - D(E_F): 11.46 states/eV/cell
# - ΔE_f: -0.32 eV per atom
# - Electronic total energy: -2.572 eV/atom
data_Ca4ZnGaAg2
_space_group_name_H-M_alt 'R -3 m'
_space_group_IT_number 166
_space_group_name_Hall '-R 3 2"'
_cell_length_a 5.2279
_cell_length_b 5.2279
_cell_length_c 25.6259
_cell_angle_alpha 90.00
_cell_angle_beta 90.00
_cell_angle_gamma 120.00
loop_
_atom_site_label
_atom_site_type_symbol
_atom_site_fract_x
_atom_site_fract_y
_atom_site_fract_z
_atom_site_occupancy
Ca1 Ca 0.0000 0.0000 0.1239 1
Ca2 Ca 0.0000 0.0000 0.3740 1
Zn1 Zn 0.0000 0.0000 0.5000 1
Ga1 Ga 0.0000 0.0000 0.0000 1
Ag1 Ag 0.0000 0.0000 0.2495 1

Entry 5:
# ZrReP2 | Alexandria via LeMat-Bulk | PBE-GGA | optimized geometry
# - D(E_F): 1.69 states/eV/cell
# - ΔE_f: -0.53 eV per atom
# - Electronic total energy: -8.484 eV/atom
data_ZrReP2
_space_group_name_H-M_alt 'P 4 m m'
_space_group_IT_number 99
_cell_length_a 3.254
_cell_length_b 3.254
_cell_length_c 5.839
_cell_angle_alpha 90.00
_cell_angle_beta 90.00
_cell_angle_gamma 90.00
loop_
_space_group_symop_operation_xyz
'x,y,z'
'-y,x,z'
'-x,-y,z'
'y,-x,z'
'-x,y,z'
'y,x,z'
'x,-y,z'
'-y,-x,z'
loop_
_atom_site_label
_atom_site_type_symbol
_atom_site_fract_x
_atom_site_fract_y
_atom_site_fract_z
_atom_site_occupancy
Zr1 Zr 0.000 0.000 0.000 1
Re1 Re 0.500 0.500 0.643 1
P1 P 0.000 0.000 0.474 1
P2 P 0.500 0.500 0.208 1

Entry 6:
# Mg2CdRe | Alexandria via LeMat-Bulk | PBE-GGA | optimized geometry
# - D(E_F): 4.01 states/eV/cell
# - ΔE_f: 0.28 eV per atom
# - Electronic total energy: -3.858 eV/atom
data_Mg2CdRe
_space_group_name_H-M_alt 'C 1 2/m 1'
_space_group_IT_number 12
_cell_length_a 5.847
_cell_length_b 8.551
_cell_length_c 2.859
_cell_angle_alpha 90.00
_cell_angle_beta 90.57
_cell_angle_gamma 90.00
loop_
_space_group_symop_operation_xyz
'x,y,z'
'-x,-y,-z'
'-x,y,-z'
'x,-y,z'
'x+1/2,y+1/2,z'
'-x+1/2,-y+1/2,-z'
'-x+1/2,y+1/2,-z'
'x+1/2,-y+1/2,z'
loop_
_atom_site_label
_atom_site_type_symbol
_atom_site_fract_x
_atom_site_fract_y
_atom_site_fract_z
_atom_site_occupancy
Mg1 Mg 0.250 0.250 0.000 1
Cd1 Cd 0.000 0.000 0.500 1
Re1 Re 0.000 0.500 0.500 1

Entry 7:
# LaBeOs | Alexandria via LeMat-Bulk | PBE-GGA | optimized geometry
# - D(E_F): 4.26 states/eV/cell
# - ΔE_f: -0.17 eV per atom
# - Electronic total energy: -6.793 eV/atom
data_LaBeOs
_space_group_name_H-M_alt 'P 4/n m m'
_space_group_IT_number 129
_cell_length_a 4.354
_cell_length_b 4.354
_cell_length_c 6.164
_cell_angle_alpha 90.00
_cell_angle_beta 90.00
_cell_angle_gamma 90.00
loop_
_space_group_symop_operation_xyz
'x,y,z'
'-x,-y,-z'
'-y+1/2,x,z'
'y+1/2,-x,-z'
'-x+1/2,-y+1/2,z'
'x+1/2,y+1/2,-z'
'y,-x+1/2,z'
'-y,x+1/2,-z'
'x+1/2,-y,-z'
'-x+1/2,y,z'
'-y,-x,-z'
'y,x,z'
'-x,y+1/2,-z'
'x,-y+1/2,z'
'y+1/2,x+1/2,-z'
'-y+1/2,-x+1/2,z'
loop_
_atom_site_label
_atom_site_type_symbol
_atom_site_fract_x
_atom_site_fract_y
_atom_site_fract_z
_atom_site_occupancy
La1 La 0.250 0.250 0.167 1
Be1 Be 0.250 0.250 0.629 1
Os1 Os 0.250 0.750 0.500 1

Entry 8:
# MnNbVGaCu | Alexandria via LeMat-Bulk | PBE-GGA | optimized geometry
# - D(E_F): 7.56 states/eV/cell
# - ΔE_f: 0.08 eV per atom
# - Electronic total energy: -7.018 eV/atom
data_MnNbVGaCu
_space_group_name_H-M_alt 'I m m 2'
_space_group_IT_number 44
_cell_length_a 2.821
_cell_length_b 4.396
_cell_length_c 11.623
_cell_angle_alpha 90.00
_cell_angle_beta 90.00
_cell_angle_gamma 90.00
loop_
_space_group_symop_operation_xyz
'x,y,z'
'-x,-y,z'
'-x,y,z'
'x,-y,z'
'x+1/2,y+1/2,z+1/2'
'-x+1/2,-y+1/2,z+1/2'
'-x+1/2,y+1/2,z+1/2'
'x+1/2,-y+1/2,z+1/2'
loop_
_atom_site_label
_atom_site_type_symbol
_atom_site_fract_x
_atom_site_fract_y
_atom_site_fract_z
_atom_site_occupancy
Mn1 Mn 0.000 0.000 0.000 1
Nb1 Nb 0.000 0.500 0.728 1
V1 V 0.000 0.500 0.345 1
Ga1 Ga 0.000 0.500 0.124 1
Cu1 Cu 0.000 0.000 0.446 1

Entry 9:
# Tb6Nd2SmEr | Alexandria via LeMat-Bulk | PBE-GGA | optimized geometry
# - D(E_F): 55.79 states/eV/cell
# - ΔE_f: 0.12 eV per atom
# - Electronic total energy: -4.545 eV/atom
data_Tb6Nd2SmEr
_space_group_name_H-M_alt 'C 1 2/c 1'
_space_group_IT_number 15
_cell_length_a 9.073
_cell_length_b 15.113
_cell_length_c 9.741
_cell_angle_alpha 90.00
_cell_angle_beta 98.74
_cell_angle_gamma 90.00
loop_
_space_group_symop_operation_xyz
'x,y,z'
'-x,-y,-z'
'-x,y,-z+1/2'
'x,-y,z+1/2'
'x+1/2,y+1/2,z'
'-x+1/2,-y+1/2,-z'
'-x+1/2,y+1/2,-z+1/2'
'x+1/2,-y+1/2,z+1/2'
loop_
_atom_site_label
_atom_site_type_symbol
_atom_site_fract_x
_atom_site_fract_y
_atom_site_fract_z
_atom_site_occupancy
Tb1 Tb 0.066 0.190 0.443 1
Tb2 Tb 0.100 0.394 0.620 1
Tb3 Tb 0.204 0.223 0.813 1
Nd1 Nd 0.246 0.051 0.043 1
Sm1 Sm 0.000 0.018 0.750 1
Er1 Er 0.000 0.407 0.250 1

Entry 10:
# SrNdNi | Alexandria via LeMat-Bulk | PBE-GGA | optimized geometry
# - D(E_F): 5.34 states/eV/cell
# - ΔE_f: -0.04 eV per atom
# - Electronic total energy: -4.118 eV/atom
data_SrNdNi
_space_group_name_H-M_alt 'I 4 m m'
_space_group_IT_number 107
_space_group_name_Hall 'I 4 -2'
_cell_length_a 3.615
_cell_length_b 3.615
_cell_length_c 13.583
_cell_angle_alpha 90.00
_cell_angle_beta 90.00
_cell_angle_gamma 90.00
loop_
_atom_site_label
_atom_site_type_symbol
_atom_site_fract_x
_atom_site_fract_y
_atom_site_fract_z
_atom_site_occupancy
Sr1 Sr 0.000 0.000 0.000 1
Nd1 Nd 0.000 0.000 0.252 1
Ni1 Ni 0.000 0.000 0.650 1

Entry 11:
# BaYRh2 | Alexandria via LeMat-Bulk | PBE-GGA | optimized geometry
# - D(E_F): 15.09 states/eV/cell
# - ΔE_f: -0.34 eV per atom
# - Electronic total energy: -6.109 eV/atom
data_BaYRh2
_space_group_name_H-M_alt 'R 3 m'
_space_group_IT_number 160
_space_group_name_Hall 'R 3 -2"'
_cell_length_a 4.4073
_cell_length_b 4.4073
_cell_length_c 22.1945
_cell_angle_alpha 90.00
_cell_angle_beta 90.00
_cell_angle_gamma 120.00
loop_
_atom_site_label
_atom_site_type_symbol
_atom_site_fract_x
_atom_site_fract_y
_atom_site_fract_z
_atom_site_occupancy
Ba1 Ba 0.0000 0.0000 0.0000 1
Y1 Y 0.0000 0.0000 0.1675 1
Rh1 Rh 0.0000 0.0000 0.4342 1
Rh2 Rh 0.0000 0.0000 0.7681 1

Entry 12:
# Be4NiTe | Alexandria via LeMat-Bulk | PBE-GGA | optimized geometry
# - Formation energy without anion corrections: 0.321 eV per atom
# - D(E_F): 6.66 states/eV/cell
# - Electronic total energy: -3.650 eV/atom
data_Be4NiTe
_space_group_name_H-M_alt 'F -4 3 m'
_space_group_IT_number 216
_space_group_name_Hall 'F -4 2 3'
_cell_length_a 6.495
_cell_length_b 6.495
_cell_length_c 6.495
_cell_angle_alpha 90.00
_cell_angle_beta 90.00
_cell_angle_gamma 90.00
loop_
_atom_site_label
_atom_site_type_symbol
_atom_site_fract_x
_atom_site_fract_y
_atom_site_fract_z
_atom_site_occupancy
Be1 Be 0.122 0.122 0.122 1
Ni1 Ni 0.250 0.250 0.750 1
Te1 Te 0.000 0.000 0.500 1

| no. | magnetic moment (μB/cell) |
| --- | --- |
| 1 | 0.03 |
| 2 | 0.00 |
| 3 | 22.34 |
| 4 | 0.00 |
| 5 | 0.00 |
| 6 | 0.00 |
| 7 | 0.00 |
| 8 | 1.43 |
| 9 | 0.00 |
| 10 | 0.00 |
| 11 | 1.92 |
| 12 | 0.00 |